Here is a geometry-optimized YbNb5Ag2O15 structure from Alexandria via LeMat-Bulk. Energies are from PBE.

Summary:
Formation energy from raw total energies in eV/f.u.: -50.5
Space-group type: No. 127

Lattice parameters (Å, degrees): 12.743 12.743 3.934 90.00 90.00 90.00
Sites, in units of the cell vectors:
Yb 0.000 0.000 0.000
Yb 0.500 0.500 0.000
Nb 0.000 0.500 0.500
Nb 0.076 0.212 0.500
Nb 0.212 0.924 0.500
Nb 0.288 0.424 0.500
Nb 0.424 0.712 0.500
Nb 0.500 0.000 0.500
Nb 0.576 0.288 0.500
Nb 0.712 0.576 0.500
Nb 0.788 0.076 0.500
Nb 0.924 0.788 0.500
Ag 0.187 0.687 0.000
Ag 0.313 0.187 0.000
Ag 0.687 0.813 0.000
Ag 0.813 0.313 0.000
O 0.000 0.500 0.000
O 0.001 0.342 0.500
O 0.055 0.868 0.500
O 0.085 0.187 0.000
O 0.132 0.055 0.500
O 0.158 0.499 0.500
O 0.187 0.915 0.000
O 0.224 0.276 0.500
O 0.276 0.776 0.500
O 0.313 0.415 0.000
O 0.342 0.999 0.500
O 0.368 0.555 0.500
O 0.415 0.687 0.000
O 0.445 0.368 0.500
O 0.499 0.842 0.500
O 0.500 0.000 0.000
O 0.501 0.158 0.500
O 0.555 0.632 0.500
O 0.585 0.313 0.000
O 0.632 0.445 0.500
O 0.658 0.001 0.500
O 0.687 0.585 0.000
O 0.724 0.224 0.500
O 0.776 0.724 0.500
O 0.813 0.085 0.000
O 0.842 0.501 0.500
O 0.868 0.945 0.500
O 0.915 0.813 0.000
O 0.945 0.132 0.500
O 0.999 0.658 0.500